Computed, not measured: Eu2Mo2WO12 after structural relaxation at the PBE+U level of DFT.

Unit cell a=7.0635 b=7.0635 c=11.7095 alpha=79.27 beta=79.27 gamma=112.29
Atoms (fractional coordinates):
O1 0.5111 0.0940 0.2821
O2 0.7035 0.8506 0.1956
O3 0.4710 0.5519 0.6118
O4 0.7300 0.1323 0.4582
O5 0.8967 0.8268 0.4431
O6 0.4481 0.5290 0.8882
O7 0.5988 0.1747 0.9256
O8 0.4889 0.9060 0.7179
O9 0.5519 0.4710 0.1118
O10 0.1323 0.7300 0.9582
O11 0.1494 0.2965 0.3044
O12 0.1033 0.1732 0.5569
O13 0.9060 0.4889 0.2179
O14 0.8253 0.4012 0.5744
O15 0.0940 0.5111 0.7821
O16 0.2965 0.1494 0.8044
O17 0.2700 0.8677 0.5418
O18 0.1732 0.1033 0.0569
O19 0.8506 0.7035 0.6956
O20 0.5290 0.4481 0.3882
O21 0.1747 0.5988 0.4256
O22 0.8677 0.2700 0.0418
O23 0.4012 0.8253 0.0744
O24 0.8268 0.8967 0.9431
Eu1 0.8041 0.5485 0.9075
Eu2 0.5485 0.8041 0.4075
Eu3 0.1959 0.4515 0.0925
Eu4 0.4515 0.1959 0.5925
W1 0.3800 0.6200 0.7500
W2 0.6200 0.3800 0.2500
Mo1 0.0139 0.3005 0.4496
Mo2 0.9861 0.6995 0.5504
Mo3 0.6995 0.9861 0.0504
Mo4 0.3005 0.0139 0.9496

The calculation puts the calculated total energy at -8.01 eV per atom. The value obtained for the density is 5.68 g/cm³.